No. 1
## BaSrLiCd (GGA-PBE)

Data for BaSrLiCd after structural relaxation.

Structure (POSCAR):
```
BaSrLiCd
1.0
0.000 4.210 4.210
4.210 0.000 4.210
4.210 4.210 0.000
Ba Sr Li Cd
1 1 1 1
Direct
0.000 0.000 0.000
0.500 0.500 0.500
0.750 0.750 0.750
0.250 0.250 0.250
```

N(E_F) = 4.0 states/eV/cell
Total magnetic moment = 0.00 μB per cell
Volume = 37.3 A^3/atom
ΔH_f (0 K) = -0.158 eV/atom



No. 2
## Ba5Sr2LiCd2 (GGA-PBE)

Data for Ba5Sr2LiCd2 after structural relaxation.

Structure (POSCAR):
```
Ba5Sr2LiCd2
1.0
14.790 0.000 0.000
0.000 14.790 0.000
0.000 0.000 4.535
Ba Sr Li Cd
10 4 2 4
Direct
0.000 0.500 0.000
0.053 0.203 0.000
0.203 0.947 0.000
0.297 0.447 0.000
0.447 0.703 0.000
0.500 0.000 0.000
0.553 0.297 0.000
0.703 0.553 0.000
0.797 0.053 0.000
0.947 0.797 0.000
0.187 0.687 0.500
0.313 0.187 0.500
0.687 0.813 0.500
0.813 0.313 0.500
0.000 0.000 0.500
0.500 0.500 0.500
0.134 0.366 0.500
0.366 0.866 0.500
0.634 0.134 0.500
0.866 0.634 0.500
```

N(E_F) = 28.5 states/eV/cell
Total magnetic moment = 0.01 μB per cell
Volume = 49.6 A^3/atom
ΔH_f (0 K) = -0.098 eV/atom



No. 3
## Ba2SrLiCd (GGA-PBE)

Data for Ba2SrLiCd after structural relaxation.

Structure (POSCAR):
```
Ba2SrLiCd
1.0
6.813 0.000 0.000
0.000 6.813 0.000
0.000 0.000 5.345
Ba Sr Li Cd
2 1 1 1
Direct
0.000 0.500 0.000
0.500 0.000 0.000
0.000 0.000 0.500
0.500 0.500 0.500
0.500 0.500 0.000
```

N(E_F) = 4.9 states/eV/cell
Relative energy among the computed polymorphs = 0.000 eV per atom
Total magnetic moment = 0.00 μB per cell
Volume = 49.6 A^3/atom
ΔH_f (0 K) = 0.020 eV/atom



No. 4
## Ba3Sr3Li2Cd (GGA-PBE)

Data for Ba3Sr3Li2Cd after structural relaxation.

Structure (POSCAR):
```
Ba3Sr3Li2Cd
1.0
10.172 0.000 0.000
-5.086 8.809 0.000
0.000 0.000 4.748
Ba Sr Li Cd
3 3 2 1
Direct
0.000 0.253 0.000
0.253 0.000 0.000
0.747 0.747 0.000
0.000 0.601 0.500
0.399 0.399 0.500
0.601 0.000 0.500
0.333 0.667 0.000
0.667 0.333 0.000
0.000 0.000 0.500
```

N(E_F) = 12.1 states/eV/cell
Total magnetic moment = 0.01 μB per cell
Volume = 47.3 A^3/atom
ΔH_f (0 K) = -0.017 eV/atom



No. 5
## BaSrLi2Cd2 (GGA-PBE)

Data for BaSrLi2Cd2 after structural relaxation.

Structure (POSCAR):
```
BaSrLi2Cd2
1.0
5.168 0.000 0.000
-2.584 4.476 0.000
0.000 0.000 8.447
Ba Sr Li Cd
1 1 2 2
Direct
0.000 0.000 0.000
0.000 0.000 0.500
0.333 0.667 0.715
0.667 0.333 0.285
0.333 0.667 0.280
0.667 0.333 0.720
```

N(E_F) = 5.1 states/eV/cell
Total magnetic moment = 0.00 μB per cell
Volume = 32.6 A^3/atom
ΔH_f (0 K) = -0.191 eV/atom



No. 6
## Ba2LiTl3Cd4 (GGA-PBE)

Data for Ba2LiTl3Cd4 after structural relaxation.

Structure (POSCAR):
```
Ba2LiTl3Cd4
1.0
5.008 0.000 0.000
0.000 5.008 0.000
0.000 0.000 12.211
Ba Li Tl Cd
2 1 3 4
Direct
0.000 0.500 0.247
0.500 0.000 0.753
0.000 0.000 0.500
0.000 0.500 0.861
0.500 0.000 0.139
0.500 0.500 0.500
0.000 0.000 0.000
0.000 0.500 0.622
0.500 0.000 0.378
0.500 0.500 0.000
```

N(E_F) = 6.5 states/eV/cell
Total magnetic moment = 0.00 μB per cell
Volume = 30.6 A^3/atom
ΔH_f (0 K) = -0.249 eV/atom



No. 7
## Ba2LiTl4Cd3 (GGA-PBE)

Data for Ba2LiTl4Cd3 after structural relaxation.

Structure (POSCAR):
```
Ba2LiTl4Cd3
1.0
4.988 0.000 0.000
0.000 4.988 0.000
0.000 0.000 12.483
Ba Li Tl Cd
2 1 4 3
Direct
0.000 0.500 0.248
0.500 0.000 0.752
0.500 0.500 0.000
0.000 0.000 0.500
0.000 0.500 0.877
0.500 0.000 0.123
0.500 0.500 0.500
0.000 0.000 0.000
0.000 0.500 0.642
0.500 0.000 0.358
```

N(E_F) = 5.0 states/eV/cell
Total magnetic moment = 0.00 μB per cell
Volume = 31.1 A^3/atom
ΔH_f (0 K) = -0.260 eV/atom



No. 8
## BaLi6TlCd (GGA-PBE)

Data for BaLi6TlCd after structural relaxation.

Structure (POSCAR):
```
BaLi6TlCd
1.0
-3.693 5.103 6.421
3.693 -5.103 6.421
3.693 5.103 -6.421
Ba Li Tl Cd
2 12 2 2
Direct
0.437 0.187 0.250
0.563 0.813 0.750
0.091 0.430 0.283
0.091 0.807 0.660
0.165 0.915 0.250
0.262 0.512 0.750
0.353 0.193 0.783
0.353 0.570 0.160
0.647 0.430 0.840
0.647 0.807 0.217
0.738 0.488 0.250
0.835 0.085 0.750
0.909 0.193 0.340
0.909 0.570 0.717
0.000 0.000 0.500
0.000 0.500 0.000
0.000 0.000 0.000
0.500 0.000 0.500
```

N(E_F) = 10.0 states/eV/cell
Total magnetic moment = 0.00 μB per cell
Volume = 26.9 A^3/atom
ΔH_f (0 K) = -0.003 eV/atom



No. 9
## BaLiTl4Cd2 (GGA-PBE)

Data for BaLiTl4Cd2 after structural relaxation.

Structure (POSCAR):
```
BaLiTl4Cd2
1.0
2.564 1.480 10.180
-2.564 1.480 10.180
0.000 -2.960 10.180
Ba Li Tl Cd
1 1 4 2
Direct
0.000 0.000 0.000
0.500 0.500 0.500
0.133 0.133 0.133
0.399 0.399 0.399
0.601 0.601 0.601
0.867 0.867 0.867
0.243 0.243 0.243
0.757 0.757 0.757
```

N(E_F) = 5.2 states/eV/cell
Total magnetic moment = 0.00 μB per cell
Volume = 29.0 A^3/atom
ΔH_f (0 K) = -0.179 eV/atom



No. 10
## Ba2Li12TlCd3 (GGA-PBE)

Data for Ba2Li12TlCd3 after structural relaxation.

Structure (POSCAR):
```
Ba2Li12TlCd3
1.0
5.218 3.012 4.729
-5.218 3.012 4.729
0.000 -6.025 4.729
Ba Li Tl Cd
2 12 1 3
Direct
0.230 0.230 0.230
0.770 0.770 0.770
0.083 0.083 0.652
0.083 0.652 0.083
0.237 0.689 0.689
0.311 0.311 0.763
0.311 0.763 0.311
0.348 0.917 0.917
0.652 0.083 0.083
0.689 0.237 0.689
0.689 0.689 0.237
0.763 0.311 0.311
0.917 0.348 0.917
0.917 0.917 0.348
0.500 0.500 0.500
0.000 0.500 0.500
0.500 0.000 0.500
0.500 0.500 0.000
```

N(E_F) = 12.0 states/eV/cell
Total magnetic moment = 0.00 μB per cell
Volume = 24.8 A^3/atom
ΔH_f (0 K) = -0.029 eV/atom